[1]
# ZnB2W3 (GGA-PBE, relaxed)
data_ZnB2W3
_symmetry_space_group_name_H-M 'P 63/m m c'
_symmetry_Int_Tables_number 194
_symmetry_space_group_name_Hall '-P 6c 2c'
_cell_length_a 3.0892
_cell_length_b 3.0892
_cell_length_c 18.7869
_cell_angle_alpha 90.00
_cell_angle_beta 90.00
_cell_angle_gamma 120.00
loop_
_atom_site_label
_atom_site_type_symbol
_atom_site_fract_x
_atom_site_fract_y
_atom_site_fract_z
_atom_site_occupancy
Zn1 Zn 0.0000 0.0000 0.2500 1
B1 B 0.3333 0.6667 0.0709 1
W1 W 0.0000 0.0000 0.0000 1
W2 W 0.3333 0.6667 0.6350 1
# crystal system: hexagonal


[2]
# ZnB2W (GGA-PBE, relaxed)
data_ZnB2W
_symmetry_space_group_name_H-M 'F -4 3 m'
_symmetry_Int_Tables_number 216
_symmetry_space_group_name_Hall 'F -4 2 3'
_cell_length_a 5.641
_cell_length_b 5.641
_cell_length_c 5.641
_cell_angle_alpha 90.00
_cell_angle_beta 90.00
_cell_angle_gamma 90.00
loop_
_atom_site_label
_atom_site_type_symbol
_atom_site_fract_x
_atom_site_fract_y
_atom_site_fract_z
_atom_site_occupancy
Zn1 Zn 0.000 0.000 0.000 1
B1 B 0.000 0.000 0.500 1
B2 B 0.250 0.250 0.250 1
W1 W 0.250 0.250 0.750 1
# crystal system: cubic


[3]
# Zr9BW4 (GGA-PBE, relaxed)
data_Zr9BW4
_symmetry_space_group_name_H-M 'P 63/m m c'
_symmetry_Int_Tables_number 194
_symmetry_space_group_name_Hall '-P 6c 2c'
_cell_length_a 8.6567
_cell_length_b 8.6567
_cell_length_c 8.6328
_cell_angle_alpha 90.00
_cell_angle_beta 90.00
_cell_angle_gamma 120.00
loop_
_atom_site_label
_atom_site_type_symbol
_atom_site_fract_x
_atom_site_fract_y
_atom_site_fract_z
_atom_site_occupancy
Zr1 Zr 0.0792 0.5396 0.2500 1
Zr2 Zr 0.2027 0.4055 0.5569 1
B1 B 0.3333 0.6667 0.7500 1
W1 W 0.0000 0.0000 0.0000 1
W2 W 0.1099 0.2197 0.2500 1
# crystal system: hexagonal


no.,raw total energy (eV per atom)
1,-9.00
2,-5.34
3,-9.78